A plane-wave DFT calculation with PBE was carried out for crystalline Ca2Tb5Nd4 at its relaxed geometry.

The value obtained for the density is 6.3 g/cm3. As for the uncorrected energy: -88.4 eV per cell. The value obtained for the spin magnetization is 0.0000 μB/atom. The calculation puts the density of states at the Fermi level at 25.98 states/eV per cell.

The space group is C2/m (No. 12) and the conventional cell measures 12.482, 6.889 and 10.358 Å, with angles of 90.00, 120.75 and 90.00 degrees. The distinct sites, in fractional coordinates, are Ca at (0.087, 0.000, 0.270), Tb at (0.000, 0.500, 0.000), Tb at (0.142, 0.239, 0.667), Nd at (0.123, 0.500, 0.378) and Nd at (0.222, 0.000, 0.020).



A plane-wave DFT calculation with PBE was carried out for crystalline CaTb4Nd at its relaxed geometry.

The value obtained for the density is 6.4 g/cm3. As for the uncorrected energy: -96.1 eV per cell. The value obtained for the spin magnetization is 0.0000 μB/atom. The calculation puts the density of states at the Fermi level at 27.28 states/eV per cell.

The space group is F-43m (No. 216) and the conventional cell measures 9.480, 9.480 and 9.480 Å, with angles of 90.00, 90.00 and 90.00 degrees. The distinct sites, in fractional coordinates, are Ca at (0.000, 0.000, 0.000), Tb at (0.124, 0.124, 0.624) and Nd at (0.250, 0.250, 0.250).



A plane-wave DFT calculation with PBE was carried out for crystalline CaTb5Nd12 at its relaxed geometry.

The value obtained for the density is 6.8 g/cm3. As for the uncorrected energy: -163.9 eV per cell. The value obtained for the spin magnetization is 0.0000 μB/atom. The calculation puts the density of states at the Fermi level at 46.95 states/eV per cell.

The space group is C2/m (No. 12) and the conventional cell measures 19.008, 10.959 and 6.334 Å, with angles of 90.00, 109.33 and 90.00 degrees. The distinct sites, in fractional coordinates, are Ca at (0.000, 0.000, 0.000), Tb at (0.000, 0.500, 0.500), Tb at (0.167, 0.500, 0.996), Tb at (0.169, 0.000, 0.511), Nd at (0.000, 0.171, 0.500), Nd at (0.000, 0.339, 0.000), Nd at (0.166, 0.334, 0.498) and Nd at (0.169, 0.168, 0.001).



A plane-wave DFT calculation with PBE was carried out for crystalline CaTb8Nd6 at its relaxed geometry.

The value obtained for the density is 6.8 g/cm3. As for the uncorrected energy: -64.4 eV per cell. The value obtained for the spin magnetization is 0.0000 μB/atom. The calculation puts the density of states at the Fermi level at 22.83 states/eV per cell.

The space group is P-3 (No. 147) and the conventional cell measures 9.9373, 9.9373 and 6.2554 Å, with angles of 90.00, 90.00 and 120.00 degrees. The distinct sites, in fractional coordinates, are Ca at (0.0000, 0.0000, 0.0000), Tb at (0.0198, 0.3371, 0.4303), Tb at (0.3333, 0.6667, 0.5847) and Nd at (0.1320, 0.6899, 0.0612).



A plane-wave DFT calculation with PBE was carried out for crystalline CaTb2Nd4 at its relaxed geometry.

The value obtained for the density is 6.3 g/cm3. As for the uncorrected energy: -90.5 eV per cell. The value obtained for the spin magnetization is 0.0000 μB/atom. The calculation puts the density of states at the Fermi level at 27.82 states/eV per cell.

The space group is R-3m (No. 166, hexagonal axes) and the conventional cell measures 3.6560, 3.6560 and 63.4226 Å, with angles of 90.00, 90.00 and 120.00 degrees. The distinct sites, in fractional coordinates, are Ca at (0.0000, 0.0000, 0.0000), Tb at (0.0000, 0.0000, 0.4296), Nd at (0.0000, 0.0000, 0.1429) and Nd at (0.0000, 0.0000, 0.2823).



A plane-wave DFT calculation with PBE was carried out for crystalline CaTb6Nd8 at its relaxed geometry.

The value obtained for the density is 7.0 g/cm3. As for the uncorrected energy: -196.3 eV per cell. The value obtained for the spin magnetization is 0.0000 μB/atom. The calculation puts the density of states at the Fermi level at 61.62 states/eV per cell.

The space group is R-3 (No. 148, hexagonal axes) and the conventional cell measures 9.8278, 9.8278 and 18.2726 Å, with angles of 90.00, 90.00 and 120.00 degrees. The distinct sites, in fractional coordinates, are Ca at (0.0000, 0.0000, 0.0000), Tb at (0.0254, 0.7910, 0.4090), Nd at (0.0000, 0.0000, 0.2379) and Nd at (0.0460, 0.7631, 0.9019).



A plane-wave DFT calculation with PBE was carried out for crystalline CaTb2Nd3 at its relaxed geometry.

The value obtained for the density is 6.2 g/cm3. As for the uncorrected energy: -97.7 eV per cell. The value obtained for the spin magnetization is 0.0000 μB/atom. The calculation puts the density of states at the Fermi level at 38.67 states/eV per cell.

The space group is C2/m (No. 12) and the conventional cell measures 12.383, 10.168 and 6.738 Å, with angles of 90.00, 90.19 and 90.00 degrees. The distinct sites, in fractional coordinates, are Ca at (0.020, 0.000, 0.250), Tb at (0.000, 0.328, 0.000), Tb at (0.000, 0.328, 0.500), Nd at (0.213, 0.500, 0.751) and Nd at (0.246, 0.171, 0.749).



A plane-wave DFT calculation with PBE was carried out for crystalline CaTb3Nd8 at its relaxed geometry.

The value obtained for the density is 6.6 g/cm3. As for the uncorrected energy: -53.7 eV per cell. The value obtained for the spin magnetization is 0.0000 μB/atom. The calculation puts the density of states at the Fermi level at 17.09 states/eV per cell.

The space group is P1 (No. 1) and the conventional cell measures 3.667, 9.721 and 12.709 Å, with angles of 109.42, 90.06 and 100.83 degrees. The distinct sites, in fractional coordinates, are Ca at (0.000, 0.000, 0.000), Tb at (0.169, 0.337, 0.914), Tb at (0.333, 0.665, 0.330), Tb at (0.498, 0.996, 0.253), Nd at (0.164, 0.327, 0.409), Nd at (0.329, 0.657, 0.827), Nd at (0.499, 0.000, 0.742), Nd at (0.665, 0.329, 0.664), Nd at (0.671, 0.342, 0.168), Nd at (0.830, 0.660, 0.084), Nd at (0.833, 0.665, 0.581) and Nd at (0.997, 0.995, 0.495).